i:
Density functional theory data (PBE) for crystalline CdAg2Pd4 at its relaxed geometry.

Lattice parameters (Å, degrees): 6.8838 6.8838 6.8838 70.75 70.42 109.58
With the nearest neighbours (Å) after each atom.
Sites, in units of the cell vectors:
Cd (0.5000, 0.2500, 0.2500)  8 Pd 2.75-2.76
Pd (0.2498, 0.8733, 0.7088)  4 Ag 2.74-2.75, 2 Cd 2.75-2.76, 3 Pd 2.94-2.99
Cd (0.0000, 0.0000, 0.0000)  8 Pd 2.75-2.76
Ag (0.1238, 0.4988, 0.1250)  8 Pd 2.74-2.75
Ag (0.8762, 0.7512, 0.6250)  8 Pd 2.74-2.75
Ag (0.6238, 0.1250, 0.7512)  8 Pd 2.74-2.75
Ag (0.3762, 0.6250, 0.4988)  8 Pd 2.74-2.75
Pd (0.4179, 0.3765, 0.8733)  4 Ag 2.74-2.75, 2 Cd 2.75-2.76, 3 Pd 2.94-2.99
Pd (0.7502, 0.0414, 0.3765)  4 Ag 2.74-2.75, 2 Cd 2.75-2.76, 3 Pd 2.94-2.99
Pd (0.5821, 0.7088, 0.0414)  4 Ag 2.74-2.75, 2 Cd 2.75-2.76, 3 Pd 2.94-2.99
Pd (0.0821, 0.2086, 0.5412)  4 Ag 2.74-2.75, 2 Cd 2.75-2.76, 3 Pd 2.94-2.99
Pd (0.7498, 0.5412, 0.3767)  4 Ag 2.74-2.75, 2 Cd 2.75-2.76, 3 Pd 2.94-2.99
Pd (0.9179, 0.3767, 0.8735)  4 Ag 2.74-2.75, 2 Cd 2.75-2.76, 3 Pd 2.94-2.99
Pd (0.2502, 0.8735, 0.2086)  4 Ag 2.74-2.75, 2 Cd 2.75-2.76, 3 Pd 2.94-2.99

Summary:
- Space group: I-42d (122)
- Magnetization: 0.00 μB per cell


ii:
Density functional theory data (PBE) for crystalline CdAg2Pd4 at its relaxed geometry.

Lattice parameters (Å, degrees): 5.4922 5.3399 5.4922 118.97 103.63 61.03
With the nearest neighbours (Å) after each atom.
Sites, in units of the cell vectors:
Pd (0.9999, 0.2985, 0.5952)  4 Pd 2.75-2.83, 4 Ag 2.78-2.79, 1 Cd 2.86
Pd (0.0001, 0.7015, 0.4048)  4 Pd 2.75-2.83, 4 Ag 2.78-2.79, 1 Cd 2.86
Ag (0.4988, 0.7513, 0.5012)  2 Ag 2.67, 8 Pd 2.78-2.79
Cd (0.0000, 0.0000, 0.0000)  4 Pd 2.86
Pd (0.4048, 0.2985, 0.0001)  4 Pd 2.75-2.83, 4 Ag 2.78-2.79, 1 Cd 2.86
Pd (0.5952, 0.7015, 0.9999)  4 Pd 2.75-2.83, 4 Ag 2.78-2.79, 1 Cd 2.86
Ag (0.5012, 0.2487, 0.4988)  2 Ag 2.67, 8 Pd 2.78-2.79

Summary:
- Space group: C2/m (12)
- Magnetization: 0.00 μB per cell


Least stable structure among those shown: i.